[1]
An optimized crystal structure of Sm2TmTlO, computed with PBE-GGA.

Fermi-level density of states	2.2	states/eV/cell
E_form (uncorrected)	-1.35	eV/atom

a = 4.953 Å, b = 4.953 Å, c = 4.661 Å
α = 90.00°, β = 90.00°, γ = 90.00°
Space group P4/mmm (No. 123)
Symmetry-distinct sites (fractional):
Sm: 0.000 0.500 0.000 (multiplicity 2)
Tm: 0.000 0.000 0.500 (multiplicity 1)
Tl: 0.500 0.500 0.500 (multiplicity 1)
O: 0.000 0.000 0.000 (multiplicity 1)

[2]
An optimized crystal structure of LaAl2Si2, computed with PBE-GGA.

Fermi-level density of states	2.6	states/eV/cell
E_form (uncorrected)	-0.42	eV/atom

a = 4.2401 Å, b = 4.2401 Å, c = 7.0065 Å
α = 90.00°, β = 90.00°, γ = 120.00°
Space group P-3m1 (No. 164)
Symmetry-distinct sites (fractional):
La: 0.0000 0.0000 0.0000 (multiplicity 1)
Al: 0.3333 0.6667 0.6369 (multiplicity 2)
Si: 0.3333 0.6667 0.2720 (multiplicity 2)